ScFe2Co: optimized geometry, PBE.

POSCAR file:
```
ScFe2Co
1.0
3.999 0.000 0.000
0.000 2.748 0.025
0.000 1.150 4.947
Sc Co Fe
1 1 2
Cartesian
0.000 1.964 2.508 Sc
2.000 3.018 3.859 Co
0.000 2.745 0.029 Fe
2.000 0.867 1.088 Fe
```

Calculated values
ΔE_f	0.138	eV/f.u.
DFT total energy	-7.556	eV per atom